(1)
Compound: ZnIr2Ru
Source: the Alexandria database
Functional: GGA-PBE
Structure: optimized geometry

a b c (Å): 2.7068 4.7515 5.3801
angles (deg): 55.76 90.00 90.00
Fractional positions:
1 Ru 0.5000 0.5000 0.5000
2 Ir 0.0000 0.0000 0.0000
3 Zn 0.0000 0.0000 0.5000
4 Ir 0.5000 0.5000 0.0000

- ΔH_f (0 K) (meV/atom) = 38
- total magnetic moment (μB/cell) = 0.00
- space-group type = No. 10

(2)
Compound: ZnIr2Ru
Source: the Alexandria database
Functional: GGA-PBE
Structure: optimized geometry

a b c (Å): 4.7289 4.7289 2.7240
angles (deg): 90.00 90.00 110.41
Fractional positions:
1 Ru 0.5000 0.0000 0.5000
2 Ir 0.0000 0.0000 0.0000
3 Zn 0.0000 0.5000 0.5000
4 Ir 0.5000 0.5000 0.0000

- ΔH_f (0 K) (meV/atom) = 5
- total magnetic moment (μB/cell) = 0.00
- space-group type = No. 65

(3)
Compound: Zn6IrRu
Source: the Alexandria database
Functional: GGA-PBE
Structure: optimized geometry

a b c (Å): 6.6262 6.6262 10.8328
angles (deg): 90.00 90.00 109.60
Fractional positions:
1 Zn 0.8715 0.6232 0.3750
2 Ir 0.2451 0.7549 0.2500
3 Zn 0.5000 0.5000 0.7500
4 Zn 0.3768 0.1285 0.1250
5 Ru 0.7537 0.2463 0.7500
6 Zn 0.3766 0.1253 0.6253
7 Ir 0.7549 0.2451 0.2500
8 Zn 0.2487 0.7513 0.0000
9 Ir 0.5000 0.5000 0.5035
10 Zn 0.1253 0.3766 0.6253
11 Ir 0.5000 0.5000 0.9965
12 Zn 0.3768 0.1285 0.3750
13 Zn 0.5000 0.5000 0.2500
14 Zn 0.7513 0.2487 0.0000
15 Zn 0.7513 0.2487 0.5000
16 Ru 0.2463 0.7537 0.7500
17 Zn 0.1285 0.3768 0.3750
18 Zn 0.8715 0.6232 0.1250
19 Ru 0.0000 0.0000 0.9982
20 Zn 0.6234 0.8747 0.8747
21 Zn 0.2487 0.7513 0.5000
22 Zn 0.0000 0.0000 0.2500
23 Zn 0.6232 0.8715 0.1250
24 Zn 0.3766 0.1253 0.8747
25 Zn 0.8747 0.6234 0.8747
26 Ru 0.0000 0.0000 0.5018
27 Zn 0.1253 0.3766 0.8747
28 Zn 0.1285 0.3768 0.1250
29 Zn 0.6234 0.8747 0.6253
30 Zn 0.0000 0.0000 0.7500
31 Zn 0.8747 0.6234 0.6253
32 Zn 0.6232 0.8715 0.3750

- ΔH_f (0 K) (meV/atom) = -160
- total magnetic moment (μB/cell) = 0.00
- space-group type = No. 65

(4)
Compound: ZnIr2Ru
Source: the Alexandria database
Functional: GGA-PBE
Structure: optimized geometry

a b c (Å): 4.7433 4.7433 4.7433
angles (deg): 132.50 132.50 69.44
Fractional positions:
1 Ir 0.5000 0.5000 0.0000
2 Zn 0.7500 0.2500 0.5000
3 Ru 0.2500 0.7500 0.5000
4 Ir 0.0000 0.0000 0.0000

- ΔH_f (0 K) (meV/atom) = -2
- total magnetic moment (μB/cell) = 0.00
- space-group type = No. 139